The following is a DFT calculation (PBE with a Hubbard U) of a geometry-optimized SrVF6 structure.

Calculated values
- D(E_F) (states/eV/cell) = 6.015
- calculated total energy (eV/atom) = -5.55
- volume (Å³/atom) = 14.33

```
8
Lattice="2.586 1.493 4.948 -2.586 1.493 4.948 0.000 -2.986 4.948" Properties=species:S:1:pos:R:3 pbc="T T T"
Sr 0.000 0.000 0.000
V 0.000 0.000 7.421
F -1.284 -0.742 6.284
F 0.000 -1.483 8.558
F -1.284 0.742 8.558
F 1.284 -0.742 6.284
F 0.000 1.483 6.284
F 1.284 0.742 8.558
```